(1)
# SmGa12Co4, optimized geometry, DFT PBE
data_SmGa12Co4
_cell_length_a 9.051
_cell_length_b 9.051
_cell_length_c 9.051
_cell_angle_alpha 90.00
_cell_angle_beta 90.00
_cell_angle_gamma 90.00
_symmetry_space_group_name_H-M 'I m -3'
_symmetry_Int_Tables_number 204
_symmetry_space_group_name_Hall '-I 2 2 3'
loop_
_atom_site_label
_atom_site_type_symbol
_atom_site_fract_x
_atom_site_fract_y
_atom_site_fract_z
Sm1 Sm 0.000 0.000 0.000
Ga1 Ga 0.000 0.259 0.258
Co1 Co 0.250 0.250 0.250
# **Total magnetization**: 1.66 μB per formula unit
# **Total DFT energy (no corrections)**: -72.44 eV per formula unit
# **D(E_F)**: 19.8 states/eV per cell
# **Formation energy**: -0.18 eV per atom

***

(2)
# SmGa2Co, optimized geometry, DFT PBE
data_SmGa2Co
_cell_length_a 4.154
_cell_length_b 17.959
_cell_length_c 4.005
_cell_angle_alpha 90.00
_cell_angle_beta 90.00
_cell_angle_gamma 90.00
_symmetry_space_group_name_H-M 'C m m m'
_symmetry_Int_Tables_number 65
_symmetry_space_group_name_Hall '-C 2 2'
loop_
_atom_site_label
_atom_site_type_symbol
_atom_site_fract_x
_atom_site_fract_y
_atom_site_fract_z
Sm1 Sm 0.000 0.141 0.000
Ga1 Ga 0.000 0.000 0.500
Ga2 Ga 0.000 0.292 0.500
Ga3 Ga 0.000 0.500 0.000
Co1 Co 0.000 0.426 0.500
# **Total magnetization**: 0.00 μB per formula unit
# **Total DFT energy (no corrections)**: -19.99 eV per formula unit
# **D(E_F)**: 16.5 states/eV per cell
# **Formation energy**: -0.53 eV per atom

***

(3)
# Sm3Ga8Co3, optimized geometry, DFT PBE
data_Sm3Ga8Co3
_cell_length_a 4.193
_cell_length_b 9.726
_cell_length_c 12.225
_cell_angle_alpha 90.00
_cell_angle_beta 90.00
_cell_angle_gamma 90.00
_symmetry_space_group_name_H-M 'I m m m'
_symmetry_Int_Tables_number 71
_symmetry_space_group_name_Hall '-I 2 2'
loop_
_atom_site_label
_atom_site_type_symbol
_atom_site_fract_x
_atom_site_fract_y
_atom_site_fract_z
Sm1 Sm 0.000 0.000 0.000
Sm2 Sm 0.000 0.000 0.326
Ga1 Ga 0.000 0.289 0.115
Ga2 Ga 0.000 0.363 0.336
Co1 Co 0.000 0.216 0.500
Co2 Co 0.000 0.500 0.000
# **Total magnetization**: 0.62 μB per formula unit
# **Total DFT energy (no corrections)**: -66.54 eV per formula unit
# **D(E_F)**: 21.3 states/eV per cell
# **Formation energy**: -0.49 eV per atom

***

(4)
# Sm2Ga3Co, optimized geometry, DFT PBE
data_Sm2Ga3Co
_cell_length_a 3.821
_cell_length_b 4.304
_cell_length_c 7.568
_cell_angle_alpha 90.00
_cell_angle_beta 90.00
_cell_angle_gamma 90.00
_symmetry_space_group_name_H-M 'P m m 2'
_symmetry_Int_Tables_number 25
_symmetry_space_group_name_Hall 'P 2 -2'
loop_
_atom_site_label
_atom_site_type_symbol
_atom_site_fract_x
_atom_site_fract_y
_atom_site_fract_z
Sm1 Sm 0.000 0.000 0.000
Sm2 Sm 0.000 0.500 0.463
Ga1 Ga 0.500 0.000 0.631
Ga2 Ga 0.500 0.500 0.152
Ga3 Ga 0.500 0.500 0.811
Co1 Co 0.500 0.000 0.304
# **Total magnetization**: 0.01 μB per formula unit
# **Total DFT energy (no corrections)**: -28.80 eV per formula unit
# **D(E_F)**: 5.4 states/eV per cell
# **Formation energy**: -0.53 eV per atom